Al3Re after structural relaxation, computed with PBE.

* E_form: 0.07 eV per atom
* crystal system: orthorhombic

Cell lengths 7.451, 7.454, 4.650 Å; angles 90.00, 90.00, 90.00 degrees
Space group Cmcm (No. 63)
Inequivalent atoms, fractional coordinates:
Al: 0.000 0.072 0.250 x4
Al: 0.172 0.267 0.750 x8
Re: 0.000 0.401 0.250 x4